DFT (PBE) results for a geometry-optimized Ce2SmPt structure.

Output
The formation energy is -0.440 eV/atom. Its total magnetization is 0.7 μB/f.u. The calculation puts the energy above the most stable polymorph in this dataset at 2.400 kcal/mol of atoms.

a b c (Å): 3.738 3.738 7.744
angles (deg): 90.00 90.00 90.00
Positions (direct):
Ce1 0.000 0.000 0.193
Ce2 0.000 0.000 0.807
Sm1 0.500 0.500 0.500
Pt1 0.500 0.500 0.000

=====

DFT (PBE) results for a geometry-optimized Ce2SmPt structure.

Output
The formation energy is -0.544 eV/atom. Its total magnetization is 1.1 μB/f.u. The calculation puts the energy above the most stable polymorph in this dataset at 0.000 kcal/mol of atoms.

a b c (Å): 14.195 10.200 6.031
angles (deg): 90.00 90.00 90.00
Positions (direct):
Ce1 0.035 0.048 0.247
Ce2 0.035 0.452 0.247
Ce3 0.213 0.554 0.562
Ce4 0.213 0.946 0.562
Ce5 0.287 0.054 0.062
Ce6 0.287 0.446 0.062
Ce7 0.465 0.548 0.747
Ce8 0.465 0.952 0.747
Ce9 0.535 0.048 0.253
Ce10 0.535 0.452 0.253
Ce11 0.713 0.554 0.938
Ce12 0.713 0.946 0.938
Ce13 0.787 0.054 0.438
Ce14 0.787 0.446 0.438
Ce15 0.965 0.548 0.753
Ce16 0.965 0.952 0.753
Sm1 0.105 0.250 0.763
Sm2 0.141 0.750 0.048
Sm3 0.359 0.250 0.548
Sm4 0.395 0.750 0.263
Sm5 0.605 0.250 0.737
Sm6 0.641 0.750 0.452
Sm7 0.859 0.250 0.952
Sm8 0.895 0.750 0.237
Pt1 0.069 0.750 0.522
Pt2 0.176 0.250 0.280
Pt3 0.324 0.750 0.780
Pt4 0.431 0.250 0.022
Pt5 0.569 0.750 0.978
Pt6 0.676 0.250 0.220
Pt7 0.824 0.750 0.720
Pt8 0.931 0.250 0.478

=====

DFT (PBE) results for a geometry-optimized CeSmPt4 structure.

Output
The formation energy is -1.049 eV/atom. Its total magnetization is 0.8 μB/f.u.

a b c (Å): 5.489 5.489 5.489
angles (deg): 60.00 60.00 60.00
Positions (direct):
Ce1 0.000 0.000 0.000
Sm1 0.250 0.250 0.250
Pt1 0.125 0.625 0.625
Pt2 0.625 0.125 0.625
Pt3 0.625 0.625 0.125
Pt4 0.625 0.625 0.625

=====

DFT (PBE) results for a geometry-optimized CeSmPt2 structure.

Output
The formation energy is -1.025 eV/atom. Its total magnetization is 0.3 μB/f.u. The calculation puts the energy above the most stable polymorph in this dataset at 2.859 kcal/mol of atoms.

a b c (Å): 7.447 7.447 7.447
angles (deg): 31.65 31.65 31.65
Positions (direct):
Ce1 0.000 0.000 0.000
Sm1 0.172 0.172 0.172
Pt1 0.417 0.417 0.417
Pt2 0.588 0.588 0.588

=====

DFT (PBE) results for a geometry-optimized CeSmPt2 structure.

Output
The formation energy is -1.024 eV/atom. Its total magnetization is 0.8 μB/f.u. The calculation puts the energy above the most stable polymorph in this dataset at 2.878 kcal/mol of atoms.

a b c (Å): 5.051 5.051 5.051
angles (deg): 60.00 60.00 60.00
Positions (direct):
Ce1 0.000 0.000 0.000
Sm1 0.500 0.500 0.500
Pt1 0.250 0.250 0.250
Pt2 0.750 0.750 0.750

=====

DFT (PBE) results for a geometry-optimized Ce3SmPt4 structure.

Output
The formation energy is -1.065 eV/atom. Its total magnetization is 1.4 μB/f.u.

a b c (Å): 7.177 8.276 7.161
angles (deg): 90.00 109.47 90.00
Positions (direct):
Ce1 0.000 0.125 0.250
Ce2 0.000 0.374 0.750
Ce3 0.000 0.626 0.250
Ce4 0.000 0.875 0.750
Ce5 0.500 0.374 0.250
Ce6 0.500 0.626 0.750
Sm1 0.500 0.126 0.750
Sm2 0.500 0.874 0.250
Pt1 0.245 0.127 0.000
Pt2 0.245 0.873 0.500
Pt3 0.248 0.378 0.497
Pt4 0.248 0.622 0.997
Pt5 0.752 0.378 0.003
Pt6 0.752 0.622 0.503
Pt7 0.755 0.127 0.500
Pt8 0.755 0.873 0.000

=====

DFT (PBE) results for a geometry-optimized Ce2SmPt2 structure.

Output
The formation energy is -0.708 eV/atom. Its total magnetization is 0.0 μB/f.u. The calculation puts the energy above the most stable polymorph in this dataset at 4.146 kcal/mol of atoms.

a b c (Å): 4.228 4.228 7.350
angles (deg): 104.79 104.79 90.70
Positions (direct):
Ce1 0.236 0.764 0.000
Ce2 0.764 0.236 0.000
Sm1 0.000 0.000 0.500
Pt1 0.403 0.403 0.308
Pt2 0.597 0.597 0.692

=====

DFT (PBE) results for a geometry-optimized Ce2SmPt structure.

Output
The formation energy is -0.382 eV/atom. Its total magnetization is 1.2 μB/f.u. The calculation puts the energy above the most stable polymorph in this dataset at 3.728 kcal/mol of atoms.

a b c (Å): 9.572 9.572 9.572
angles (deg): 23.20 23.20 23.20
Positions (direct):
Ce1 0.000 0.000 0.000
Ce2 0.203 0.203 0.203
Sm1 0.434 0.434 0.434
Pt1 0.602 0.602 0.602

=====

DFT (PBE) results for a geometry-optimized CeSm3Pt8 structure.

Output
The formation energy is -1.068 eV/atom. Its total magnetization is 0.8 μB/f.u. The calculation puts the energy above the most stable polymorph in this dataset at 0.000 kcal/mol of atoms.

a b c (Å): 9.508 9.508 9.508
angles (deg): 33.55 33.55 33.55
Positions (direct):
Ce1 0.000 0.000 0.000
Sm1 0.374 0.374 0.374
Sm2 0.499 0.499 0.499
Sm3 0.874 0.874 0.874
Pt1 0.187 0.187 0.187
Pt2 0.437 0.437 0.937
Pt3 0.437 0.937 0.437
Pt4 0.437 0.937 0.937
Pt5 0.687 0.687 0.687
Pt6 0.937 0.437 0.437
Pt7 0.937 0.437 0.937
Pt8 0.937 0.937 0.437

=====

DFT (PBE) results for a geometry-optimized CeSmPt2 structure.

Output
The formation energy is -1.083 eV/atom. Its total magnetization is 0.3 μB/f.u. The calculation puts the energy above the most stable polymorph in this dataset at 1.528 kcal/mol of atoms.

a b c (Å): 7.211 7.211 7.211
angles (deg): 33.23 33.23 33.23
Positions (direct):
Ce1 0.000 0.000 0.000
Sm1 0.500 0.500 0.500
Pt1 0.253 0.253 0.253
Pt2 0.747 0.747 0.747

=====

DFT (PBE) results for a geometry-optimized CeSm2Pt3 structure.

Output
The formation energy is -1.080 eV/atom. Its total magnetization is 0.3 μB/f.u.

a b c (Å): 7.185 7.185 8.276
angles (deg): 106.73 106.73 48.12
Positions (direct):
Ce1 0.001 0.999 0.750
Ce2 0.999 0.001 0.250
Sm1 0.332 0.333 0.916
Sm2 0.333 0.332 0.416
Sm3 0.667 0.668 0.584
Sm4 0.668 0.667 0.084
Pt1 0.161 0.162 0.581
Pt2 0.162 0.161 0.081
Pt3 0.499 0.501 0.250
Pt4 0.501 0.499 0.750
Pt5 0.838 0.839 0.919
Pt6 0.839 0.838 0.419

=====

DFT (PBE) results for a geometry-optimized CeSm3Pt8 structure.

Output
The formation energy is -1.010 eV/atom. Its total magnetization is 0.8 μB/f.u. The calculation puts the energy above the most stable polymorph in this dataset at 1.341 kcal/mol of atoms.

a b c (Å): 5.495 5.495 9.009
angles (deg): 90.00 90.00 120.00
Positions (direct):
Ce1 0.000 0.000 0.000
Sm1 0.000 0.000 0.374
Sm2 0.667 0.333 0.503
Sm3 0.667 0.333 0.872
Pt1 0.165 0.330 0.688
Pt2 0.165 0.835 0.688
Pt3 0.333 0.667 0.436
Pt4 0.333 0.667 0.938
Pt5 0.502 0.004 0.187
Pt6 0.502 0.498 0.187
Pt7 0.670 0.835 0.688
Pt8 0.996 0.498 0.187

=====

Q: What is the formula in the fourth record?
A: CeSmPt2